Model 1:
A relaxed PmPr3Tl2 crystal, computed with PBE.

Cell lengths 5.314, 6.949, 10.411 Å; angles 90.00, 90.00, 90.00 degrees
Atoms (fractional coordinates):
Pm1 0.500 0.548 0.544
Pm2 0.500 0.048 0.456
Pr1 0.000 0.450 0.957
Pr2 0.000 0.950 0.043
Pr3 0.500 0.683 0.185
Pr4 0.500 0.183 0.815
Pr5 0.000 0.318 0.318
Pr6 0.000 0.818 0.682
Tl1 0.500 0.708 0.862
Tl2 0.500 0.208 0.138
Tl3 0.000 0.294 0.635
Tl4 0.000 0.794 0.365

* spin magnetization: 0.000 μB per cell
* theoretical density: 8.435 Mg/m³
* N(E_F): 7.29 states/eV/f.u.

***

Model 2:
A relaxed PmPr3Tl2 crystal, computed with PBE.

Cell lengths 5.134, 8.820, 10.401 Å; angles 117.87, 90.00, 106.92 degrees
Atoms (fractional coordinates):
Pm1 0.881 0.761 0.934
Pm2 0.119 0.239 0.066
Pr1 0.287 0.574 0.618
Pr2 0.958 0.916 0.638
Pr3 0.632 0.263 0.674
Pr4 0.368 0.737 0.326
Pr5 0.042 0.084 0.362
Pr6 0.713 0.426 0.382
Tl1 0.508 0.016 0.858
Tl2 0.492 0.984 0.142
Tl3 0.761 0.522 0.105
Tl4 0.239 0.478 0.895

* spin magnetization: 0.000 μB per cell
* theoretical density: 8.248 Mg/m³
* N(E_F): 6.32 states/eV/f.u.

***

model 2 is the least stable structure shown above.